Crystalline K2AgGe3Au12 at its relaxed geometry, computed with GGA-PBE.

Output
The calculation puts the magnetization at 0.000 Bohr magnetons per cell. As for the space group: No. 166. For the density of states at the Fermi level, the calculation gives 7.83 states/eV/cell. The value obtained for the total energy is -56.70 eV for the cell shown.

Cell and atoms, written as extended XYZ:
```
18
Lattice="-2.943 7.740 1.386 -3.891 0.880 7.387 4.414 4.346 5.666" Properties=species:S:1:pos:R:3 pbc="T T T"
Au -4.539 5.729 5.832
Au -4.342 9.047 9.655
Au -3.396 4.935 9.750
Au 0.346 3.476 8.674
Au -1.814 5.643 2.611
Au -2.296 2.160 5.658
Au -2.766 9.490 5.766
Au 1.922 3.920 4.785
Au 0.976 8.031 4.689
Au -0.124 10.807 8.782
Au 2.120 7.237 8.608
Au -0.606 7.324 11.829
Ge -1.471 3.870 0.693
Ge -1.946 0.440 3.694
Ge 2.207 2.173 2.833
Ag 0.000 0.000 0.000
K -0.974 5.218 5.811
K -1.446 7.748 8.629
```

***

Crystalline KAgGeAu2 at its relaxed geometry, computed with GGA-PBE.

Output
The calculation puts the magnetization at 0.000 Bohr magnetons per cell. As for the space group: No. 123. For the density of states at the Fermi level, the calculation gives 1.06 states/eV/cell. The value obtained for the total energy is -15.54 eV for the cell shown.

Cell and atoms, written as extended XYZ:
```
5
Lattice="5.035 0.000 0.000 0.000 5.035 0.000 0.000 0.000 5.095" Properties=species:S:1:pos:R:3 pbc="T T T"
Ge 0.000 0.000 0.000
K 2.517 2.517 2.548
Ag 0.000 0.000 2.548
Au 2.517 0.000 0.000
Au 0.000 2.517 0.000
```

***

Crystalline K2AgGe3Au4 at its relaxed geometry, computed with GGA-PBE.

Output
The calculation puts the magnetization at 0.000 Bohr magnetons per cell. As for the space group: No. 115. For the density of states at the Fermi level, the calculation gives 5.21 states/eV/cell. The value obtained for the total energy is -33.62 eV for the cell shown.

Cell and atoms, written as extended XYZ:
```
10
Lattice="4.759 0.000 0.000 0.000 4.759 0.000 0.000 0.000 10.310" Properties=species:S:1:pos:R:3 pbc="T T T"
Ge 0.000 0.000 5.155
Ge 0.000 2.379 1.176
Ge 2.379 0.000 9.134
Au 2.379 0.000 6.547
Au 0.000 0.000 0.000
Au 0.000 2.379 3.763
Au 2.379 2.379 0.000
Ag 2.379 2.379 5.155
K 2.379 0.000 2.601
K 0.000 2.379 7.709
```

***

Crystalline La2Ag3Ge4Au at its relaxed geometry, computed with GGA-PBE.

Output
The calculation puts the magnetization at 0.000 Bohr magnetons per cell. As for the space group: No. 115. For the density of states at the Fermi level, the calculation gives 3.47 states/eV/cell. The value obtained for the total energy is -44.59 eV for the cell shown.

Cell and atoms, written as extended XYZ:
```
10
Lattice="4.486 0.000 0.000 0.000 4.486 0.000 0.000 0.000 10.722" Properties=species:S:1:pos:R:3 pbc="T T T"
La 0.000 2.243 8.026
La 2.243 0.000 2.696
Ag 0.000 2.243 1.402
Ag 2.243 0.000 9.321
Ag 0.000 0.000 5.361
Ge 0.000 2.243 3.928
Ge 2.243 0.000 6.794
Ge 2.243 2.243 0.000
Ge 0.000 0.000 0.000
Au 2.243 2.243 5.361
```

***

Crystalline LaAgGeAu at its relaxed geometry, computed with GGA-PBE.

Output
The calculation puts the magnetization at 0.000 Bohr magnetons per cell. As for the space group: No. 216. For the density of states at the Fermi level, the calculation gives 2.26 states/eV/cell. The value obtained for the total energy is -17.51 eV for the cell shown.

Cell and atoms, written as extended XYZ:
```
4
Lattice="5.021 0.000 0.000 2.511 4.349 0.000 2.511 1.450 4.100" Properties=species:S:1:pos:R:3 pbc="T T T"
Ge 2.511 1.450 1.025
La 0.000 0.000 0.000
Ag 5.021 2.899 2.050
Au 7.532 4.349 3.075
```

***

Crystalline La2AgGe4Au3 at its relaxed geometry, computed with GGA-PBE.

Output
The calculation puts the magnetization at 0.000 Bohr magnetons per cell. As for the space group: No. 115. For the density of states at the Fermi level, the calculation gives 3.48 states/eV/cell. The value obtained for the total energy is -46.77 eV for the cell shown.

Cell and atoms, written as extended XYZ:
```
10
Lattice="4.496 0.000 0.000 0.000 4.496 0.000 0.000 0.000 10.672" Properties=species:S:1:pos:R:3 pbc="T T T"
Au 0.000 2.248 1.384
Au 2.248 0.000 9.287
Au 0.000 0.000 5.336
Ge 0.000 0.000 0.000
Ge 2.248 0.000 6.765
Ge 2.248 2.248 0.000
Ge 0.000 2.248 3.906
Ag 2.248 2.248 5.336
La 0.000 2.248 8.002
La 2.248 0.000 2.669
```

***

Q: Number 5 is which compound?
A: LaAgGeAu

***

What did the fourth record say?
Crystalline La2Ag3Ge4Au at its relaxed geometry, computed with GGA-PBE.

Output
The calculation puts the magnetization at 0.000 Bohr magnetons per cell. As for the space group: No. 115. For the density of states at the Fermi level, the calculation gives 3.47 states/eV/cell. The value obtained for the total energy is -44.59 eV for the cell shown.

Cell and atoms, written as extended XYZ:
```
10
Lattice="4.486 0.000 0.000 0.000 4.486 0.000 0.000 0.000 10.722" Properties=species:S:1:pos:R:3 pbc="T T T"
La 0.000 2.243 8.026
La 2.243 0.000 2.696
Ag 0.000 2.243 1.402
Ag 2.243 0.000 9.321
Ag 0.000 0.000 5.361
Ge 0.000 2.243 3.928
Ge 2.243 0.000 6.794
Ge 2.243 2.243 0.000
Ge 0.000 0.000 0.000
Au 2.243 2.243 5.361
```

***

Q: Among the records above, which one has the highest density of states at the Fermi level?
A: K2AgGe3Au12